Version P
BeMoI2O | PBE+U | relaxed

Cell: 6.390 6.390 3.014 Å, 90.00 90.00 90.00°
Positions (direct):
O  0.000  0.000  0.500
Be  0.000  0.000  0.000
I  0.000  0.500  0.000
I  0.500  0.000  0.000
Mo  0.500  0.500  0.500

## Properties
V: 123.07 Å³/cell


Version Q
BeMoI2O | PBE+U | relaxed

Cell: 5.899 5.899 3.883 Å, 90.00 90.00 90.00°
Positions (direct):
Mo  0.000  0.000  0.000
O  0.000  0.000  0.500
I  0.000  0.500  0.000
I  0.500  0.000  0.000
Be  0.500  0.500  0.500

## Properties
V: 135.12 Å³/cell


Most stable: version P. Least stable: version Q.